Version one
La2CuMo | GGA-PBE | optimized geometry

## Properties
The density of states at the Fermi level is 18.3 states/eV per cell. As for the crystal system: cubic.

CIF file:
```
data_La2CuMo
_symmetry_space_group_name_H-M 'F -4 3 m'
_symmetry_Int_Tables_number 216
_symmetry_space_group_name_Hall 'F -4 2 3'
_cell_length_a 7.040
_cell_length_b 7.040
_cell_length_c 7.040
_cell_angle_alpha 90.00
_cell_angle_beta 90.00
_cell_angle_gamma 90.00
loop_
_atom_site_label
_atom_site_fract_x
_atom_site_fract_y
_atom_site_fract_z
_atom_site_occupancy
La1 0.000 0.000 0.000 1
La2 0.250 0.250 0.250 1
Cu1 0.250 0.250 0.750 1
Mo1 0.000 0.000 0.500 1
```

=====

Version two
La2CuMo | GGA-PBE | optimized geometry

## Properties
The density of states at the Fermi level is 25.1 states/eV per cell. As for the crystal system: cubic.

CIF file:
```
data_La2CuMo
_symmetry_space_group_name_H-M 'F m -3 m'
_symmetry_Int_Tables_number 225
_symmetry_space_group_name_Hall '-F 4 2 3'
_cell_length_a 7.246
_cell_length_b 7.246
_cell_length_c 7.246
_cell_angle_alpha 90.00
_cell_angle_beta 90.00
_cell_angle_gamma 90.00
loop_
_atom_site_label
_atom_site_fract_x
_atom_site_fract_y
_atom_site_fract_z
_atom_site_occupancy
La1 0.250 0.250 0.250 1
Cu1 0.000 0.000 0.000 1
Mo1 0.000 0.000 0.500 1
```

=====

Version three
La2CuMo | GGA-PBE | optimized geometry

## Properties
The density of states at the Fermi level is 7.5 states/eV per cell. As for the crystal system: monoclinic.

CIF file:
```
data_La2CuMo
_symmetry_space_group_name_H-M 'C 1 2/m 1'
_symmetry_Int_Tables_number 12
_symmetry_space_group_name_Hall '-C 2y'
_cell_length_a 6.734
_cell_length_b 3.247
_cell_length_c 9.048
_cell_angle_alpha 90.00
_cell_angle_beta 95.78
_cell_angle_gamma 90.00
loop_
_atom_site_label
_atom_site_fract_x
_atom_site_fract_y
_atom_site_fract_z
_atom_site_occupancy
La1 0.243 0.000 0.252 1
Cu1 0.000 0.500 0.000 1
Mo1 0.000 0.000 0.500 1
```

=====

Version four
La2CuMo | GGA-PBE | optimized geometry

## Properties
The density of states at the Fermi level is 3.8 states/eV per cell. As for the crystal system: monoclinic.

CIF file:
```
data_La2CuMo
_symmetry_space_group_name_H-M 'P 1 m 1'
_symmetry_Int_Tables_number 6
_symmetry_space_group_name_Hall 'P -2y'
_cell_length_a 3.589
_cell_length_b 4.847
_cell_length_c 5.638
_cell_angle_alpha 90.00
_cell_angle_beta 103.14
_cell_angle_gamma 90.00
loop_
_atom_site_label
_atom_site_fract_x
_atom_site_fract_y
_atom_site_fract_z
_atom_site_occupancy
La1 0.000 0.000 0.000 1
La2 0.178 0.500 0.550 1
Cu1 0.651 0.000 0.422 1
Mo1 0.673 0.500 0.103 1
```

=====

Which is most stable? The ranking, best first, is version four, version two, version one, version three.

=====

Version one
La2CuMo | GGA-PBE | optimized geometry

## Properties
The density of states at the Fermi level is 11.4 states/eV per cell. As for the crystal system: orthorhombic.

CIF file:
```
data_La2CuMo
_symmetry_space_group_name_H-M 'I m m 2'
_symmetry_Int_Tables_number 44
_symmetry_space_group_name_Hall 'I 2 -2'
_cell_length_a 3.640
_cell_length_b 4.939
_cell_length_c 10.595
_cell_angle_alpha 90.00
_cell_angle_beta 90.00
_cell_angle_gamma 90.00
loop_
_atom_site_label
_atom_site_fract_x
_atom_site_fract_y
_atom_site_fract_z
_atom_site_occupancy
La1 0.000 0.000 0.000 1
La2 0.000 0.500 0.207 1
Cu1 0.000 0.500 0.772 1
Mo1 0.000 0.000 0.440 1
```

=====

Version two
La2CuMo | GGA-PBE | optimized geometry

## Properties
The density of states at the Fermi level is 16.2 states/eV per cell. As for the crystal system: tetragonal.

CIF file:
```
data_La2CuMo
_symmetry_space_group_name_H-M 'I -4 2 d'
_symmetry_Int_Tables_number 122
_symmetry_space_group_name_Hall 'I -4 2bw'
_cell_length_a 7.875
_cell_length_b 7.875
_cell_length_c 6.256
_cell_angle_alpha 90.00
_cell_angle_beta 90.00
_cell_angle_gamma 90.00
loop_
_atom_site_label
_atom_site_fract_x
_atom_site_fract_y
_atom_site_fract_z
_atom_site_occupancy
La1 0.244 0.750 0.125 1
Cu1 0.000 0.000 0.500 1
Mo1 0.000 0.000 0.000 1
```

=====

Which is most stable? The ranking, best first, is version one, version two.